# ZrVOF2, optimized geometry, DFT PBE+U
data_ZrVOF2
_chemical_formula_sum 'Zr1 V1 O1 F2'
_symmetry_space_group_name_H-M 'P 4/m m m'
_symmetry_Int_Tables_number 123
_symmetry_space_group_name_Hall '-P 4 2'
_cell_length_a 4.010
_cell_length_b 4.010
_cell_length_c 4.199
_cell_angle_alpha 90.00
_cell_angle_beta 90.00
_cell_angle_gamma 90.00
loop_
_atom_site_label
_atom_site_fract_x
_atom_site_fract_y
_atom_site_fract_z
_atom_site_occupancy
Zr1 0.000 0.000 0.000 1
V1 0.500 0.500 0.500 1
O1 0.500 0.500 0.000 1
F1 0.000 0.500 0.500 1
# E_tot, eV per atom: -6.565
# N(E_F), states/eV/cell: 2.9
# Energy relative to the lowest polymorph listed for this composition, eV/atom: 0.2680